# 1
The following is a DFT calculation (GGA-PBEsol) of a geometry-optimized HfCuSb3 structure.

The structure in CIF format:
```
data_HfCuSb3
_space_group_name_H-M_alt 'P m -3 m'
_space_group_IT_number 221
_space_group_name_Hall '-P 4 2 3'
_cell_length_a 4.947
_cell_length_b 4.947
_cell_length_c 4.947
_cell_angle_alpha 90.00
_cell_angle_beta 90.00
_cell_angle_gamma 90.00
loop_
_atom_site_label
_atom_site_fract_x
_atom_site_fract_y
_atom_site_fract_z
Hf1 0.000 0.000 0.000
Cu1 0.500 0.500 0.500
Sb1 0.000 0.500 0.500
```

Results
For the energy relative to the elements, uncorrected, the calculation gives 549 meV/atom. The density of states at the Fermi level is 3.8 states/eV/f.u.

***

# 2
The following is a DFT calculation (GGA-PBEsol) of a geometry-optimized ZnCr2Hg structure.

The structure in CIF format:
```
data_ZnCr2Hg
_space_group_name_H-M_alt 'P m m m'
_space_group_IT_number 47
_cell_length_a 3.776
_cell_length_b 3.793
_cell_length_c 4.177
_cell_angle_alpha 90.00
_cell_angle_beta 90.00
_cell_angle_gamma 90.00
loop_
_space_group_symop_operation_xyz
'x,y,z'
'-x,-y,-z'
'-x,-y,z'
'x,y,-z'
'x,-y,-z'
'-x,y,z'
'-x,y,-z'
'x,-y,z'
loop_
_atom_site_label
_atom_site_fract_x
_atom_site_fract_y
_atom_site_fract_z
Zn1 0.000 0.000 0.000
Cr1 0.000 0.500 0.500
Cr2 0.500 0.000 0.500
Hg1 0.500 0.500 0.000
```

Results
As for the formation energy: 0.395 eV per atom. The density of states at the Fermi level is 3.2 states/eV/f.u. The offset from the most stable computed form is 146 meV per atom.

***

# 3
The following is a DFT calculation (GGA-PBEsol) of a geometry-optimized Rb2Pt2Pb structure.

The structure in CIF format:
```
data_Rb2Pt2Pb
_space_group_name_H-M_alt 'I 4/m m m'
_space_group_IT_number 139
_space_group_name_Hall '-I 4 2'
_cell_length_a 3.619
_cell_length_b 3.619
_cell_length_c 23.411
_cell_angle_alpha 90.00
_cell_angle_beta 90.00
_cell_angle_gamma 90.00
loop_
_atom_site_label
_atom_site_fract_x
_atom_site_fract_y
_atom_site_fract_z
Rb1 0.000 0.000 0.129
Pt1 0.000 0.500 0.250
Pb1 0.000 0.000 0.500
```

Results
As for the formation energy: 0.149 eV per atom. The density of states at the Fermi level is 5.6 states/eV/f.u.

***

# 4
The following is a DFT calculation (GGA-PBEsol) of a geometry-optimized InCo2Os structure.

The structure in CIF format:
```
data_InCo2Os
_space_group_name_H-M_alt 'P m m m'
_space_group_IT_number 47
_cell_length_a 2.715
_cell_length_b 3.528
_cell_length_c 5.550
_cell_angle_alpha 90.00
_cell_angle_beta 90.00
_cell_angle_gamma 90.00
loop_
_space_group_symop_operation_xyz
'x,y,z'
'-x,-y,-z'
'-x,-y,z'
'x,y,-z'
'x,-y,-z'
'-x,y,z'
'-x,y,-z'
'x,-y,z'
loop_
_atom_site_label
_atom_site_fract_x
_atom_site_fract_y
_atom_site_fract_z
In1 0.000 0.000 0.000
Co1 0.500 0.500 0.283
Os1 0.000 0.000 0.500
```

Results
As for the formation energy: 0.223 eV per atom. The density of states at the Fermi level is 4.2 states/eV/f.u.

***

# 5
The following is a DFT calculation (GGA-PBEsol) of a geometry-optimized AlBi3B structure.

The structure in CIF format:
```
data_AlBi3B
_space_group_name_H-M_alt 'P m -3 m'
_space_group_IT_number 221
_space_group_name_Hall '-P 4 2 3'
_cell_length_a 5.338
_cell_length_b 5.338
_cell_length_c 5.338
_cell_angle_alpha 90.00
_cell_angle_beta 90.00
_cell_angle_gamma 90.00
loop_
_atom_site_label
_atom_site_fract_x
_atom_site_fract_y
_atom_site_fract_z
Al1 0.000 0.000 0.000
Bi1 0.000 0.000 0.500
B1 0.500 0.500 0.500
```

Results
As for the formation energy: 1.419 eV per atom. The density of states at the Fermi level is 2.8 states/eV/f.u.

***

# 6
The following is a DFT calculation (GGA-PBEsol) of a geometry-optimized LiIN2F structure.

The structure in CIF format:
```
data_LiIN2F
_space_group_name_H-M_alt 'P 4/m m m'
_space_group_IT_number 123
_space_group_name_Hall '-P 4 2'
_cell_length_a 3.978
_cell_length_b 3.978
_cell_length_c 7.121
_cell_angle_alpha 90.00
_cell_angle_beta 90.00
_cell_angle_gamma 90.00
loop_
_atom_site_label
_atom_site_fract_x
_atom_site_fract_y
_atom_site_fract_z
Li1 0.000 0.000 0.000
I1 0.500 0.500 0.000
N1 0.000 0.500 0.500
F1 0.500 0.500 0.500
```

Results
For the energy relative to the elements, uncorrected, the calculation gives 1491 meV/atom. The density of states at the Fermi level is 1.3 states/eV/f.u.

***

# 7
The following is a DFT calculation (GGA-PBEsol) of a geometry-optimized Nb3PPd structure.

The structure in CIF format:
```
data_Nb3PPd
_space_group_name_H-M_alt 'P m -3 m'
_space_group_IT_number 221
_space_group_name_Hall '-P 4 2 3'
_cell_length_a 4.540
_cell_length_b 4.540
_cell_length_c 4.540
_cell_angle_alpha 90.00
_cell_angle_beta 90.00
_cell_angle_gamma 90.00
loop_
_atom_site_label
_atom_site_fract_x
_atom_site_fract_y
_atom_site_fract_z
Nb1 0.000 0.000 0.500
P1 0.000 0.000 0.000
Pd1 0.500 0.500 0.500
```

Results
As for the formation energy: 0.282 eV per atom. The density of states at the Fermi level is 5.3 states/eV/f.u.

***

# 8
The following is a DFT calculation (GGA-PBEsol) of a geometry-optimized RbMg2Bi2 structure.

The structure in CIF format:
```
data_RbMg2Bi2
_space_group_name_H-M_alt 'I 4/m m m'
_space_group_IT_number 139
_space_group_name_Hall '-I 4 2'
_cell_length_a 4.901
_cell_length_b 4.901
_cell_length_c 13.563
_cell_angle_alpha 90.00
_cell_angle_beta 90.00
_cell_angle_gamma 90.00
loop_
_atom_site_label
_atom_site_fract_x
_atom_site_fract_y
_atom_site_fract_z
Rb1 0.000 0.000 0.000
Mg1 0.000 0.500 0.250
Bi1 0.000 0.000 0.375
```

Results
As for the formation energy: -0.350 eV per atom. The density of states at the Fermi level is 3.1 states/eV/f.u.

***

# 9
The following is a DFT calculation (GGA-PBEsol) of a geometry-optimized SrPt2Br structure.

The structure in CIF format:
```
data_SrPt2Br
_space_group_name_H-M_alt 'C m m m'
_space_group_IT_number 65
_space_group_name_Hall '-C 2 2'
_cell_length_a 4.485
_cell_length_b 4.492
_cell_length_c 8.049
_cell_angle_alpha 90.00
_cell_angle_beta 90.00
_cell_angle_gamma 90.00
loop_
_atom_site_label
_atom_site_fract_x
_atom_site_fract_y
_atom_site_fract_z
Sr1 0.000 0.000 0.000
Pt1 0.000 0.500 0.270
Br1 0.000 0.000 0.500
```

Results
For the energy relative to the elements, uncorrected, the calculation gives 194 meV/atom. The density of states at the Fermi level is 3.6 states/eV/f.u. The offset from the most stable computed form is 315 meV per atom.

***

# 10
The following is a DFT calculation (GGA-PBEsol) of a geometry-optimized TaB4W3 structure.

The structure in CIF format:
```
data_TaB4W3
_space_group_name_H-M_alt 'P m m 2'
_space_group_IT_number 25
_cell_length_a 3.089
_cell_length_b 3.188
_cell_length_c 8.511
_cell_angle_alpha 90.00
_cell_angle_beta 90.00
_cell_angle_gamma 90.00
loop_
_space_group_symop_operation_xyz
'x,y,z'
'-x,-y,z'
'-x,y,z'
'x,-y,z'
loop_
_atom_site_label
_atom_site_fract_x
_atom_site_fract_y
_atom_site_fract_z
Ta1 0.000 0.000 0.000
B1 0.000 0.000 0.295
B2 0.000 0.500 0.792
B3 0.500 0.000 0.418
B4 0.500 0.500 0.911
W1 0.000 0.500 0.500
W2 0.500 0.000 0.707
W3 0.500 0.500 0.213
```

Results
As for the formation energy: -0.540 eV per atom. The density of states at the Fermi level is 2.4 states/eV/f.u.

***

# 11
The following is a DFT calculation (GGA-PBEsol) of a geometry-optimized MnCrCu structure.

The structure in CIF format:
```
data_MnCrCu
_space_group_name_H-M_alt 'F m m 2'
_space_group_IT_number 42
_space_group_name_Hall 'F 2 -2'
_cell_length_a 2.781
_cell_length_b 3.873
_cell_length_c 12.246
_cell_angle_alpha 90.00
_cell_angle_beta 90.00
_cell_angle_gamma 90.00
loop_
_atom_site_label
_atom_site_fract_x
_atom_site_fract_y
_atom_site_fract_z
Mn1 0.000 0.000 0.000
Cr1 0.000 0.000 0.656
Cu1 0.000 0.000 0.329
```

Results
As for the formation energy: 0.227 eV per atom. The density of states at the Fermi level is 2.9 states/eV/f.u. The offset from the most stable computed form is 0 meV per atom.

***

# 12
The following is a DFT calculation (GGA-PBEsol) of a geometry-optimized ScTaW structure.

The structure in CIF format:
```
data_ScTaW
_space_group_name_H-M_alt 'F -4 3 m'
_space_group_IT_number 216
_space_group_name_Hall 'F -4 2 3'
_cell_length_a 6.258
_cell_length_b 6.258
_cell_length_c 6.258
_cell_angle_alpha 90.00
_cell_angle_beta 90.00
_cell_angle_gamma 90.00
loop_
_atom_site_label
_atom_site_fract_x
_atom_site_fract_y
_atom_site_fract_z
Sc1 0.000 0.000 0.000
Ta1 0.250 0.250 0.750
W1 0.000 0.000 0.500
```

Results
As for the formation energy: 0.988 eV per atom. The density of states at the Fermi level is 2.8 states/eV/f.u.